(a)
! Ca2PtW (PBE, relaxed); values from VASP
! - SG = No. 119
! - total magnetization (Bohr magnetons per cell) = 2.3
&SYSTEM
  ibrav = 0, nat = 4, ntyp = 3
/
ATOMIC_SPECIES
W 183.84 W.upf
Ca 40.08 Ca.upf
Pt 195.08 Pt.upf
ATOMIC_POSITIONS crystal
W 0.7500 0.2500 0.5000
Ca 0.0000 0.0000 0.0000
Pt 0.5000 0.5000 0.0000
Ca 0.2500 0.7500 0.5000
CELL_PARAMETERS angstrom
-3.6558 -0.4121 3.2491
-3.1689 -0.8353 -3.6540
4.0195 -2.7800 0.4540



(b)
! Ca2PtW (PBE, relaxed); values from VASP
! - SG = No. 123
! - total magnetization (Bohr magnetons per cell) = 0.0
&SYSTEM
  ibrav = 0, nat = 4, ntyp = 3
/
ATOMIC_SPECIES
W 183.84 W.upf
Ca 40.08 Ca.upf
Pt 195.08 Pt.upf
ATOMIC_POSITIONS crystal
W 0.5000 0.5000 0.7500
Ca 0.0000 0.0000 0.4800
Ca 0.0000 0.0000 0.0200
Pt 0.5000 0.5000 0.2500
CELL_PARAMETERS angstrom
-1.1749 1.3305 -2.4309
-2.1184 -2.1338 -0.1406
-5.4351 5.0410 5.3860



(c)
! Ca2PtW (PBE, relaxed); values from VASP
! - SG = No. 123
! - total magnetization (Bohr magnetons per cell) = 3.1
&SYSTEM
  ibrav = 0, nat = 4, ntyp = 3
/
ATOMIC_SPECIES
Ca 40.08 Ca.upf
W 183.84 W.upf
Pt 195.08 Pt.upf
ATOMIC_POSITIONS crystal
Ca 0.0000 0.0000 0.0153
W 0.5000 0.5000 0.7500
Pt 0.5000 0.5000 0.2500
Ca 0.0000 0.0000 0.4847
CELL_PARAMETERS angstrom
3.6812 0.0000 0.0000
0.0000 3.6812 0.0000
0.0000 0.0000 6.5831



(d)
! Ca2PtW (PBE, relaxed); values from VASP
! - SG = No. 8
! - total magnetization (Bohr magnetons per cell) = 0.0
&SYSTEM
  ibrav = 0, nat = 4, ntyp = 3
/
ATOMIC_SPECIES
Ca 40.08 Ca.upf
W 183.84 W.upf
Pt 195.08 Pt.upf
ATOMIC_POSITIONS crystal
Ca 0.7835 0.7835 0.6741
W 0.2088 0.2088 0.2320
Ca 0.9799 0.9799 0.0536
Pt 0.5278 0.5278 0.5404
CELL_PARAMETERS angstrom
-4.9691 -3.3451 -0.9066
-4.2567 -3.8707 1.8978
-4.4357 2.7737 1.6466



Of them, (a) has the lowest stability.



(a)
! CaPtW3 (PBE, relaxed); values from VASP
! - SG = No. 221
! - total magnetization (Bohr magnetons per cell) = 0.0
&SYSTEM
  ibrav = 0, nat = 5, ntyp = 3
/
ATOMIC_SPECIES
Ca 40.08 Ca.upf
W 183.84 W.upf
Pt 195.08 Pt.upf
ATOMIC_POSITIONS crystal
Ca 0.5000 0.5000 0.5000
W 0.0000 0.0000 0.5000
W 0.0000 0.5000 0.0000
W 0.5000 0.0000 0.0000
Pt 0.0000 0.0000 0.0000
CELL_PARAMETERS angstrom
4.8868 0.0000 0.0000
0.0000 4.8868 0.0000
0.0000 0.0000 4.8868



(b)
! CaPtW3 (PBE, relaxed); values from VASP
! - SG = No. 221
! - total magnetization (Bohr magnetons per cell) = 0.0
&SYSTEM
  ibrav = 0, nat = 5, ntyp = 3
/
ATOMIC_SPECIES
W 183.84 W.upf
Ca 40.08 Ca.upf
Pt 195.08 Pt.upf
ATOMIC_POSITIONS crystal
W 0.5000 0.0000 0.0000
W 0.0000 0.0000 0.5000
Ca 0.0000 0.0000 0.0000
W 0.0000 0.5000 0.0000
Pt 0.5000 0.5000 0.5000
CELL_PARAMETERS angstrom
-4.3124 -1.2494 0.6580
1.2748 -2.5350 3.5412
-0.6074 3.5502 2.7601



Of them, (b) has the lowest stability.



(a)
! CaY2Pt (PBE, relaxed); values from VASP
! - SG = No. 160
! - total magnetization (Bohr magnetons per cell) = 0.8
&SYSTEM
  ibrav = 0, nat = 4, ntyp = 3
/
ATOMIC_SPECIES
Pt 195.08 Pt.upf
Y 88.91 Y.upf
Ca 40.08 Ca.upf
ATOMIC_POSITIONS crystal
Pt 0.7465 0.7465 0.7465
Y 0.2543 0.2543 0.2543
Y 0.0222 0.0222 0.0222
Ca 0.4769 0.4769 0.4769
CELL_PARAMETERS angstrom
-4.7204 7.2249 -5.1004
-7.6226 5.7305 -3.0907
-5.3341 8.3561 -1.4895



(b)
! CaY2Pt (PBE, relaxed); values from VASP
! - SG = No. 71
! - total magnetization (Bohr magnetons per cell) = 0.0
&SYSTEM
  ibrav = 0, nat = 4, ntyp = 3
/
ATOMIC_SPECIES
Y 88.91 Y.upf
Pt 195.08 Pt.upf
Ca 40.08 Ca.upf
ATOMIC_POSITIONS crystal
Y 0.9414 0.9414 0.0586
Y 0.5586 0.5586 0.4414
Pt 0.2500 0.2500 0.2500
Ca 0.7500 0.7500 0.7500
CELL_PARAMETERS angstrom
6.5088 -0.0097 -0.0051
5.4733 3.5225 -0.0051
2.3529 0.6898 4.9563



Of them, (a) has the lowest stability.